SrMn2Cr | PBE | optimized geometry

abc: 7.211 3.888 6.175
angles: 90.00 111.62 90.00
Sites, in units of the cell vectors:
Sr 0.000 0.000 0.000
Sr 0.500 0.500 0.000
Mn 0.307 0.500 0.436
Mn 0.481 0.000 0.458
Mn 0.807 0.000 0.436
Mn 0.981 0.500 0.458
Cr 0.182 0.000 0.566
Cr 0.682 0.500 0.566

Summary:
The energy above the most stable polymorph in this dataset is 0.1193 eV per atom. For the total energy, the calculation gives -6.86 eV/atom. Its energy of formation is 0.5532 eV per atom.

***

SmFe4 | PBE | optimized geometry

abc: 4.643 4.643 4.643
angles: 90.00 90.00 90.00
Sites, in units of the cell vectors:
Sm 0.000 0.000 0.000
Fe 0.000 0.000 0.500
Fe 0.000 0.500 0.000
Fe 0.500 0.000 0.000
Fe 0.500 0.500 0.500

Summary:
For the total energy, the calculation gives -5.67 eV/atom. Its energy of formation is 2.0428 eV per atom.

***

CePmGdPb | PBE | optimized geometry

abc: 7.796 7.796 7.796
angles: 90.00 90.00 90.00
Sites, in units of the cell vectors:
Ce 0.000 0.000 0.000
Ce 0.000 0.500 0.500
Ce 0.500 0.000 0.500
Ce 0.500 0.500 0.000
Pm 0.250 0.250 0.750
Pm 0.250 0.750 0.250
Pm 0.750 0.250 0.250
Pm 0.750 0.750 0.750
Gd 0.250 0.250 0.250
Gd 0.250 0.750 0.750
Gd 0.750 0.250 0.750
Gd 0.750 0.750 0.250
Pb 0.000 0.000 0.500
Pb 0.000 0.500 0.000
Pb 0.500 0.000 0.000
Pb 0.500 0.500 0.500

Summary:
For the total energy, the calculation gives -7.21 eV/atom. Its energy of formation is -0.0866 eV per atom.

***

Ta2TiSe5 | PBE | optimized geometry

abc: 9.565 7.204 7.097
angles: 83.94 48.50 47.55
Sites, in units of the cell vectors:
Ta 0.188 0.188 0.812
Ta 0.812 0.812 0.188
Ti 0.500 0.500 0.500
Se 0.000 0.000 0.000
Se 0.217 0.461 0.539
Se 0.461 0.217 0.783
Se 0.539 0.783 0.217
Se 0.783 0.539 0.461

Summary:
The calculation puts the uncorrected formation energy at -635 meV/atom. For the total energy, the calculation gives -6.76 eV/atom.

***

MgPd8Pt5 | PBE | optimized geometry

abc: 6.711 6.711 6.711
angles: 111.41 111.41 105.67
Sites, in units of the cell vectors:
Mg 0.000 0.000 0.000
Pd 0.100 0.679 0.781
Pd 0.178 0.279 0.765
Pd 0.321 0.102 0.421
Pd 0.513 0.412 0.235
Pd 0.588 0.822 0.101
Pd 0.681 0.900 0.579
Pd 0.721 0.487 0.899
Pd 0.898 0.319 0.219
Pt 0.207 0.621 0.177
Pt 0.379 0.556 0.585
Pt 0.444 0.030 0.823
Pt 0.750 0.250 0.500
Pt 0.970 0.793 0.415

Summary:
For the total energy, the calculation gives -5.19 eV/atom. Its energy of formation is 0.0536 eV per atom.

***

HfZn2H | PBE | optimized geometry

abc: 3.942 3.309 9.080
angles: 90.00 101.93 90.00
Sites, in units of the cell vectors:
Hf 0.215 0.250 0.385
Hf 0.785 0.750 0.615
Zn 0.064 0.750 0.117
Zn 0.421 0.750 0.861
Zn 0.579 0.250 0.139
Zn 0.936 0.250 0.883
H 0.491 0.250 0.593
H 0.509 0.750 0.407

Summary:
The energy above the most stable polymorph in this dataset is 0.0000 eV per atom. For the total energy, the calculation gives -4.01 eV/atom.

***

Y4BiTe2 | PBE | optimized geometry

abc: 8.275 8.275 8.275
angles: 108.77 108.77 110.88
Sites, in units of the cell vectors:
Y 0.184 0.246 0.562
Y 0.184 0.622 0.938
Y 0.246 0.184 0.062
Y 0.378 0.816 0.562
Y 0.622 0.184 0.438
Y 0.754 0.816 0.938
Y 0.816 0.378 0.062
Y 0.816 0.754 0.438
Bi 0.125 0.875 0.250
Bi 0.875 0.125 0.750
Te 0.000 0.500 0.500
Te 0.500 0.000 0.000
Te 0.500 0.500 0.000
Te 0.500 0.500 0.500

Summary:
The calculation puts the uncorrected formation energy at -894 meV/atom. The energy above the most stable polymorph in this dataset is 0.0617 eV per atom. For the total energy, the calculation gives -6.04 eV/atom.

***

Ba2InBiF | PBE | optimized geometry

abc: 6.892 6.892 4.679
angles: 90.00 90.00 90.00
Sites, in units of the cell vectors:
Ba 0.000 0.500 0.000
Ba 0.500 0.000 0.000
In 0.000 0.000 0.500
Bi 0.500 0.500 0.000
F 0.500 0.500 0.500

Summary:
The calculation puts the uncorrected formation energy at -715 meV/atom. For the total energy, the calculation gives -3.18 eV/atom.

***

Q: What is the formula in the eighth record?
A: Ba2InBiF